1.
Li2MgNiF6: optimized geometry, PBE with a Hubbard U.

Computed properties:
As for the calculated volume: 104.3 Å³ per cell. The total moment comes out at 0.191 μB per atom. Its energy is -48.14 eV per formula unit. Its symmetry is R3.

Lattice parameters (Å, degrees): 5.4861 5.4861 5.4861 55.40 55.40 55.40
Atoms (fractional coordinates):
Li1 0.0000 0.0000 0.0000
Li2 0.4983 0.4983 0.4983
Mg1 0.2053 0.2053 0.2053
Ni1 0.7037 0.7037 0.7037
F1 0.1010 0.4231 0.8099
F2 0.3061 0.9260 0.5988
F3 0.4231 0.8099 0.1010
F4 0.5988 0.3061 0.9260
F5 0.8099 0.1010 0.4231
F6 0.9260 0.5988 0.3061



2.
LiMgNi2F6: optimized geometry, PBE with a Hubbard U.

Computed properties:
As for the calculated volume: 113.3 Å³ per cell. The total moment comes out at 0.300 μB per atom. Its energy is -44.42 eV per formula unit. Its symmetry is P1.

Lattice parameters (Å, degrees): 5.0499 5.3338 5.4803 115.62 90.75 117.89
Atoms (fractional coordinates):
Li1 0.0000 0.0000 0.0000
Mg1 0.5146 0.0443 0.5277
Ni1 0.2124 0.4512 0.6254
Ni2 0.7071 0.4437 0.1186
F1 0.1223 0.6090 0.3542
F2 0.3023 0.2256 0.8215
F3 0.4203 0.2349 0.3208
F4 0.6665 0.0115 0.8482
F5 0.7458 0.8784 0.2901
F6 0.8912 0.5448 0.8172



3.
Li2MgNiF8: optimized geometry, PBE with a Hubbard U.

Computed properties:
As for the calculated volume: 140.3 Å³ per cell. The total moment comes out at 0.337 μB per atom. Its energy is -50.20 eV per formula unit. Its symmetry is I-4m2.

Lattice parameters (Å, degrees): 5.6771 5.6771 5.6771 111.59 111.59 105.32
Atoms (fractional coordinates):
Li1 0.0000 0.0000 0.0000
Li2 0.7500 0.2500 0.5000
Mg1 0.2500 0.7500 0.5000
Ni1 0.5000 0.5000 0.0000
F1 0.0099 0.8082 0.2017
F2 0.1608 0.4495 0.7113
F3 0.1918 0.3934 0.2017
F4 0.1918 0.9901 0.7983
F5 0.5505 0.2618 0.7113
F6 0.5505 0.8392 0.2887
F7 0.6066 0.8082 0.7983
F8 0.7382 0.4495 0.2887